(1)
Density functional theory data (PBE) for crystalline Ca2BiPd3 at its relaxed geometry.

abc: 5.5936 5.5936 5.5936
angles: 62.35 62.35 62.35
Element x y z (fractional)
Ca  0.1241  0.1241  0.1241
Ca  0.8759  0.8759  0.8759
Bi  0.5000  0.5000  0.5000
Pd  0.0000  0.5000  0.5000
Pd  0.5000  0.0000  0.5000
Pd  0.5000  0.5000  0.0000

Results
symmetry: No. 166
E_form: -0.653 eV per atom
density of states at the Fermi level: 3.1 states/eV/cell
relative energy among the computed polymorphs: 0 meV per atom
crystal system: trigonal


(2)
Density functional theory data (PBE) for crystalline K2HoF4 at its relaxed geometry.

abc: 9.8014 9.8014 9.8014
angles: 154.31 154.31 36.66
Element x y z (fractional)
K  0.1587  0.1587  0.0000
K  0.8413  0.8413  0.0000
Ho  0.5000  0.5000  0.0000
F  0.0000  0.5000  0.5000
F  0.3852  0.3852  0.0000
F  0.5000  0.0000  0.5000
F  0.6148  0.6148  0.0000

Results
symmetry: No. 139
formation energy without anion corrections: -3.09 eV per atom
density of states at the Fermi level: 1.0 states/eV/cell
crystal system: tetragonal


(3)
Density functional theory data (PBE) for crystalline Ca2TaZn at its relaxed geometry.

abc: 3.1816 4.8065 6.2541
angles: 90.00 90.00 90.00
Element x y z (fractional)
Ca  0.0000  0.0000  0.2491
Ca  0.0000  0.0000  0.7509
Ta  0.5000  0.5000  0.5000
Zn  0.5000  0.5000  0.0000

Results
symmetry: No. 47
E_form: 0.527 eV per atom
density of states at the Fermi level: 4.0 states/eV/cell
crystal system: orthorhombic


(4)
Density functional theory data (PBE) for crystalline Sm2TcBr at its relaxed geometry.

abc: 9.9949 9.9949 9.9949
angles: 20.12 20.12 20.12
Element x y z (fractional)
Sm  0.0853  0.0853  0.0853
Sm  0.9147  0.9147  0.9147
Tc  0.0000  0.0000  0.0000
Br  0.5000  0.5000  0.5000

Results
symmetry: No. 166
formation energy without anion corrections: 0.18 eV per atom
density of states at the Fermi level: 3.5 states/eV/cell
relative energy among the computed polymorphs: 753 meV per atom
crystal system: trigonal


(5)
Density functional theory data (PBE) for crystalline HoErGePd at its relaxed geometry.

abc: 4.9787 4.9787 4.9787
angles: 60.00 60.00 60.00
Element x y z (fractional)
Ho  0.0000  0.0000  0.0000
Er  0.5000  0.5000  0.5000
Ge  0.7500  0.7500  0.7500
Pd  0.2500  0.2500  0.2500

Results
symmetry: No. 216
E_form: -0.820 eV per atom
density of states at the Fermi level: 1.4 states/eV/cell
relative energy among the computed polymorphs: 80 meV per atom
crystal system: cubic


(6)
Density functional theory data (PBE) for crystalline AcNdTl4 at its relaxed geometry.

abc: 6.3808 6.3808 6.3808
angles: 60.00 60.00 60.00
Element x y z (fractional)
Ac  0.0000  0.0000  0.0000
Nd  0.7500  0.7500  0.7500
Tl  0.3752  0.3752  0.3752
Tl  0.3752  0.3752  0.8744
Tl  0.3752  0.8744  0.3752
Tl  0.8744  0.3752  0.3752

Results
symmetry: No. 216
E_form: -0.187 eV per atom
density of states at the Fermi level: 5.3 states/eV/cell
relative energy among the computed polymorphs: 5 meV per atom
crystal system: cubic


(7)
Density functional theory data (PBE) for crystalline BaBi6Pb5 at its relaxed geometry.

abc: 9.4340 9.4340 5.1498
angles: 105.79 105.79 104.21
Element x y z (fractional)
Ba  0.0000  0.0000  0.0000
Bi  0.0958  0.4261  0.2636
Bi  0.2646  0.2646  0.7634
Bi  0.4261  0.0958  0.2636
Bi  0.5739  0.9042  0.7364
Bi  0.7354  0.7354  0.2366
Bi  0.9042  0.5739  0.7364
Pb  0.1810  0.8190  0.5000
Pb  0.3269  0.6731  0.0000
Pb  0.5000  0.5000  0.5000
Pb  0.6731  0.3269  0.0000
Pb  0.8190  0.1810  0.5000

Results
symmetry: No. 12
E_form: -0.105 eV per atom
density of states at the Fermi level: 5.8 states/eV/cell
crystal system: monoclinic


(8)
Density functional theory data (PBE) for crystalline Th5Ge3 at its relaxed geometry.

abc: 8.9501 8.9501 8.9501
angles: 127.98 127.98 76.65
Element x y z (fractional)
Th  0.0000  0.0000  0.0000
Th  0.0134  0.5134  0.8250
Th  0.1884  0.0134  0.5000
Th  0.3116  0.8116  0.8250
Th  0.4866  0.3116  0.5000
Th  0.5000  0.5000  0.0000
Th  0.5134  0.6884  0.5000
Th  0.6884  0.1884  0.1750
Th  0.8116  0.9866  0.5000
Th  0.9866  0.4866  0.1750
Ge  0.1316  0.3684  0.5000
Ge  0.2500  0.2500  0.0000
Ge  0.3684  0.8684  0.2368
Ge  0.6316  0.1316  0.7632
Ge  0.7500  0.7500  0.0000
Ge  0.8684  0.6316  0.5000

Results
symmetry: No. 140
E_form: -0.571 eV per atom
density of states at the Fermi level: 17.2 states/eV/cell
crystal system: tetragonal